No. 1
The following is a PBE-GGA calculation of an optimized crystal structure of HfO, from the Alexandria database.

a b c (Å): 6.1666 6.1666 3.1920
angles (deg): 90.00 90.00 90.00
With the nearest neighbours (Å) after each atom.
Fractional positions:
Hf 0.2987 0.2987 0.0000  4 O 2.11-2.14
Hf 0.7987 0.2013 0.5000  4 O 2.11-2.14
Hf 0.2013 0.7987 0.5000  4 O 2.11-2.14
Hf 0.7013 0.7013 0.0000  4 O 2.11-2.14
O 0.3653 0.6347 0.0000  4 Hf 2.11-2.14, 1 O 2.35
O 0.8653 0.8653 0.5000  4 Hf 2.11-2.14, 1 O 2.35
O 0.1347 0.1347 0.5000  4 Hf 2.11-2.14, 1 O 2.35
O 0.6347 0.3653 0.0000  4 Hf 2.11-2.14, 1 O 2.35

Density of states at the Fermi level, states/eV/cell: 4.27
Total DFT energy (no corrections), eV per atom: -9.650
Space group: P4_2/mnm



No. 2
The following is a PBE-GGA calculation of an optimized crystal structure of HfO, from the Alexandria database.

a b c (Å): 3.5210 4.8318 10.6617
angles (deg): 90.00 90.00 90.00
With the nearest neighbours (Å) after each atom.
Fractional positions:
Hf 0.0000 0.7567 0.8471  4 O 2.16-2.24
Hf 0.5000 0.2433 0.6529  4 O 2.16-2.24
Hf 0.5000 0.2433 0.3471  4 O 2.16-2.24
Hf 0.0000 0.7567 0.1529  4 O 2.16-2.24
Hf 0.0000 0.7781 0.5000  4 O 2.05
Hf 0.5000 0.2219 0.0000  4 O 2.05
O 0.0000 0.9761 0.6704  4 Hf 2.05-2.19
O 0.5000 0.0239 0.8296  4 Hf 2.05-2.19
O 0.5000 0.0239 0.1704  4 Hf 2.05-2.19
O 0.0000 0.9761 0.3296  4 Hf 2.05-2.19
O 0.0000 0.4379 0.0000  4 Hf 2.05-2.24
O 0.5000 0.5621 0.5000  4 Hf 2.05-2.24

Density of states at the Fermi level, states/eV/cell: 6.32
Total DFT energy (no corrections), eV per atom: -9.796
Space group: Pmmn



No. 3
The following is a PBE-GGA calculation of an optimized crystal structure of HfOsO3, from the Alexandria database.

a b c (Å): 4.0572 4.0572 4.0572
angles (deg): 90.00 90.00 90.00
With the nearest neighbours (Å) after each atom.
Fractional positions:
Hf 0.0000 0.0000 0.0000  6 O 2.03
Os 0.5000 0.5000 0.5000  12 O 2.87
O 0.0000 0.5000 0.0000  2 Hf 2.03
O 0.0000 0.0000 0.5000  2 Hf 2.03
O 0.5000 0.0000 0.0000  2 Hf 2.03

Density of states at the Fermi level, states/eV/cell: 3.86
Total DFT energy (no corrections), eV per atom: -8.210
Space group: Pm-3m



No. 4
The following is a PBE-GGA calculation of an optimized crystal structure of Hf2OsO2, from the Alexandria database.

a b c (Å): 6.9773 6.9773 2.7361
angles (deg): 90.00 90.00 90.00
With the nearest neighbours (Å) after each atom.
Fractional positions:
Hf 0.3430 0.8430 0.0000  6 O 2.37-2.61, 2 Os 2.63
Hf 0.8430 0.6570 0.0000  6 O 2.37-2.61, 2 Os 2.63
Hf 0.6570 0.1570 0.0000  6 O 2.37-2.61, 2 Os 2.63
Hf 0.1570 0.3430 0.0000  6 O 2.37-2.61, 2 Os 2.63
Os 0.0000 0.0000 0.0000  4 Hf 2.63, 2 Os 2.74
Os 0.5000 0.5000 0.0000  4 Hf 2.63, 2 Os 2.74
O 0.1175 0.6175 0.5000  1 O 2.32, 4 Hf 2.37
O 0.6175 0.8825 0.5000  1 O 2.32, 4 Hf 2.37
O 0.8825 0.3825 0.5000  1 O 2.32, 4 Hf 2.37
O 0.3825 0.1175 0.5000  1 O 2.32, 4 Hf 2.37

Density of states at the Fermi level, states/eV/cell: 3.95
Total DFT energy (no corrections), eV per atom: -9.256
ΔE to the lowest computed polymorph, eV per atom: 0.991
Space group: P4/mbm



No. 5
The following is a PBE-GGA calculation of an optimized crystal structure of HfOs3O, from the Alexandria database.

a b c (Å): 4.1429 4.1429 4.1429
angles (deg): 90.00 90.00 90.00
With the nearest neighbours (Å) after each atom.
Fractional positions:
Hf 0.5000 0.5000 0.5000  12 Os 2.93
Os 0.0000 0.5000 0.0000  2 O 2.07
Os 0.0000 0.0000 0.5000  2 O 2.07
Os 0.5000 0.0000 0.0000  2 O 2.07
O 0.0000 0.0000 0.0000  6 Os 2.07

Density of states at the Fermi level, states/eV/cell: 2.88
Total DFT energy (no corrections), eV per atom: -9.462
ΔE to the lowest computed polymorph, eV per atom: 0.000
Space group: Pm-3m



No. 6
The following is a PBE-GGA calculation of an optimized crystal structure of Hf6Os2O, from the Alexandria database.

a b c (Å): 5.8696 6.4498 8.9979
angles (deg): 90.00 92.94 90.00
With the nearest neighbours (Å) after each atom.
Fractional positions:
Hf 0.8812 0.9765 0.2517  1 O 2.31, 1 Os 2.58
Hf 0.8273 0.6777 0.5542  1 O 2.37
Hf 0.8222 0.6843 0.9458  1 O 2.31
Hf 0.6778 0.1843 0.5542  1 O 2.31
Hf 0.6727 0.1777 0.9458  1 O 2.37
Hf 0.6188 0.4765 0.2483  1 O 2.31, 1 Os 2.58
Hf 0.1188 0.0235 0.7483  1 O 2.31, 1 Os 2.58
Hf 0.1727 0.3223 0.4458  1 O 2.37
Hf 0.1778 0.3157 0.0542  1 O 2.31
Hf 0.3222 0.8157 0.4458  1 O 2.31
Hf 0.3273 0.8223 0.0542  1 O 2.37
Hf 0.3812 0.5235 0.7517  1 O 2.31, 1 Os 2.58
Os 0.9448 0.3906 0.7617  6 Hf 2.58-2.73
Os 0.5552 0.8906 0.7383  6 Hf 2.58-2.73
Os 0.4448 0.1094 0.2617  6 Hf 2.58-2.73
Os 0.0552 0.6094 0.2383  6 Hf 2.58-2.73
O 0.5000 0.5000 0.0000  6 Hf 2.31-2.37
O 0.0000 0.0000 0.5000  6 Hf 2.31-2.37

Density of states at the Fermi level, states/eV/cell: 14.88
Total DFT energy (no corrections), eV per atom: -10.463
Space group: P2_1/c



No. 7
The following is a PBE-GGA calculation of an optimized crystal structure of Hf6OsO, from the Alexandria database.

a b c (Å): 4.9829 5.8394 5.6927
angles (deg): 82.13 90.32 66.08
With the nearest neighbours (Å) after each atom.
Fractional positions:
Hf 0.0701 0.3557 0.7822  1 O 2.42
Hf 0.7612 0.9871 0.6651  1 O 2.27
Hf 0.5986 0.2576 0.1296  1 O 2.17
Hf 0.2388 0.0129 0.3349  1 O 2.27
Hf 0.9299 0.6443 0.2178  1 O 2.42
Hf 0.4014 0.7424 0.8704  1 O 2.17
Os 0.5000 0.5000 0.5000  4 Hf 2.64-2.76
O 0.0000 0.0000 0.0000  6 Hf 2.17-2.42

Density of states at the Fermi level, states/eV/cell: 3.73
Total DFT energy (no corrections), eV per atom: -10.304
Space group: P-1



No. 8
The following is a PBE-GGA calculation of an optimized crystal structure of HfOs3O, from the Alexandria database.

a b c (Å): 4.8680 4.8680 4.8680
angles (deg): 90.00 90.00 90.00
With the nearest neighbours (Å) after each atom.
Fractional positions:
Hf 0.0000 0.0000 0.0000  6 Os 2.43
Os 0.0000 0.5000 0.0000  2 Hf 2.43
Os 0.0000 0.0000 0.5000  2 Hf 2.43
Os 0.5000 0.0000 0.0000  2 Hf 2.43
O 0.5000 0.5000 0.5000  12 Os 3.44

Density of states at the Fermi level, states/eV/cell: 5.91
Total DFT energy (no corrections), eV per atom: -6.705
ΔE to the lowest computed polymorph, eV per atom: 2.758
Space group: Pm-3m



No. 9
The following is a PBE-GGA calculation of an optimized crystal structure of Hf2OsO2, from the Alexandria database.

a b c (Å): 3.4407 3.4407 6.3244
angles (deg): 74.22 74.22 90.00
With the nearest neighbours (Å) after each atom.
Fractional positions:
Hf 0.3577 0.3577 0.2847  4 O 2.13
Hf 0.6423 0.6423 0.7153  4 O 2.13
Os 0.0000 0.0000 0.0000  8 Hf 2.95
O 0.7500 0.2500 0.5000  4 Hf 2.13
O 0.2500 0.7500 0.5000  4 Hf 2.13

Density of states at the Fermi level, states/eV/cell: 0.00
Total DFT energy (no corrections), eV per atom: -10.247
ΔE to the lowest computed polymorph, eV per atom: 0.000
Space group: I4/mmm



No. 10
The following is a PBE-GGA calculation of an optimized crystal structure of Hf8Os2O, from the Alexandria database.

a b c (Å): 4.6489 5.6887 10.0811
angles (deg): 119.21 103.33 90.00
With the nearest neighbours (Å) after each atom.
Fractional positions:
Hf 0.3939 0.6634 0.7879  1 O 2.00
Hf 0.6856 0.9740 0.3712  3 Os 2.82-2.90, 4 Hf 2.96-3.15
Hf 0.7917 0.6705 0.5834  1 Os 2.67, 4 Hf 2.94-2.96
Hf 0.9526 0.1734 0.9051  1 Os 2.58, 2 O 2.86
Hf 0.2083 0.3295 0.4166  1 Os 2.67, 4 Hf 2.94-2.96
Hf 0.3144 0.0260 0.6288  3 Os 2.82-2.90, 4 Hf 2.96-3.15
Hf 0.6061 0.3366 0.2121  1 O 2.00
Hf 0.0474 0.8266 0.0949  1 Os 2.58, 2 O 2.86
Os 0.8540 0.3481 0.7080  6 Hf 2.58-2.82
Os 0.1460 0.6519 0.2920  6 Hf 2.58-2.82
O 0.5000 0.0000 0.0000  2 Hf 2.00

Density of states at the Fermi level, states/eV/cell: 6.44
Total DFT energy (no corrections), eV per atom: -10.238
Space group: C2/m



No. 11
The following is a PBE-GGA calculation of an optimized crystal structure of HfOsO3, from the Alexandria database.

a b c (Å): 3.8943 3.8943 3.8943
angles (deg): 90.00 90.00 90.00
With the nearest neighbours (Å) after each atom.
Fractional positions:
Hf 0.5000 0.5000 0.5000  12 O 2.75
Os 0.0000 0.0000 0.0000  6 O 1.95
O 0.0000 0.5000 0.0000  2 Os 1.95
O 0.0000 0.0000 0.5000  2 Os 1.95
O 0.5000 0.0000 0.0000  2 Os 1.95

Density of states at the Fermi level, states/eV/cell: 3.62
Total DFT energy (no corrections), eV per atom: -7.837
Space group: Pm-3m



No. 12
The following is a PBE-GGA calculation of an optimized crystal structure of Hf6OsO2, from the Alexandria database.

a b c (Å): 5.9966 5.9966 6.1413
angles (deg): 60.78 60.78 60.00
With the nearest neighbours (Å) after each atom.
Fractional positions:
Hf 0.8069 0.3884 0.8107  2 O 2.25-2.34
Hf 0.9941 0.8069 0.8107  2 O 2.25-2.34
Hf 0.3884 0.9941 0.8107  2 O 2.25-2.34
Hf 0.2380 0.5454 0.3240  2 O 2.29-2.40
Hf 0.8926 0.2380 0.3240  2 O 2.29-2.40
Hf 0.5454 0.8926 0.3240  2 O 2.29-2.40
Os 0.3511 0.3511 0.9468  6 Hf 2.53-2.74
O 0.8130 0.8130 0.5611  6 Hf 2.25-2.40
O 0.6363 0.6363 0.0910  6 Hf 2.29-2.34

Density of states at the Fermi level, states/eV/cell: 6.24
Total DFT energy (no corrections), eV per atom: -10.023
Space group: R3